(1)
First-principles (PBE-GGA) data for a relaxed structure of ScBeGa, as listed in the Alexandria database.

Lattice parameters (Å, degrees): 5.812 5.812 5.812 90.00 90.00 90.00
Space group F-43m (No. 216)
Asymmetric unit:
Sc 0.000 0.000 0.000
Be 0.250 0.250 0.750
Ga 0.000 0.000 0.500

Properties
As for the volume: 16.4 A^3/atom. The polymorph energy (0 for the lowest one) is 119 meV/atom.

(2)
First-principles (PBE-GGA) data for a relaxed structure of ScBeGa, as listed in the Alexandria database.

Lattice parameters (Å, degrees): 5.629 4.129 8.200 90.00 90.00 90.00
Space group Pnma (No. 62)
Asymmetric unit:
Sc 0.163 0.250 0.088
Be 0.035 0.250 0.717
Ga 0.151 0.250 0.414

Properties
As for the volume: 15.9 A^3/atom. The polymorph energy (0 for the lowest one) is 269 meV/atom.

(3)
First-principles (PBE-GGA) data for a relaxed structure of Sc2Be2Ga, as listed in the Alexandria database.

Lattice parameters (Å, degrees): 3.022 3.022 17.654 90.00 90.00 90.00
Space group I4/mmm (No. 139)
Asymmetric unit:
Sc 0.000 0.000 0.112
Be 0.000 0.500 0.250
Ga 0.000 0.000 0.500

Properties
As for the volume: 16.1 A^3/atom. The polymorph energy (0 for the lowest one) is 283 meV/atom.

(4)
First-principles (PBE-GGA) data for a relaxed structure of ScBeGa, as listed in the Alexandria database.

Lattice parameters (Å, degrees): 4.382 7.505 5.502 90.00 90.00 90.00
Space group Cmcm (No. 63)
Asymmetric unit:
Sc 0.000 0.165 0.250
Be 0.000 0.170 0.750
Ga 0.000 0.500 0.000

Properties
As for the volume: 15.1 A^3/atom. The polymorph energy (0 for the lowest one) is 208 meV/atom.

(5)
First-principles (PBE-GGA) data for a relaxed structure of ScBeGa, as listed in the Alexandria database.

Lattice parameters (Å, degrees): 4.123 7.004 6.537 90.00 90.00 90.00
Space group Ima2 (No. 46)
Asymmetric unit:
Sc 0.250 0.222 0.000
Be 0.250 0.572 0.796
Ga 0.250 0.604 0.214

Properties
As for the volume: 15.7 A^3/atom. The polymorph energy (0 for the lowest one) is 82 meV/atom.

(6)
First-principles (PBE-GGA) data for a relaxed structure of Sc3Be2Ga4, as listed in the Alexandria database.

Lattice parameters (Å, degrees): 9.757 4.135 7.891 90.00 112.66 90.00
Space group C2/m (No. 12)
Asymmetric unit:
Sc 0.000 0.000 0.000
Sc 0.161 0.500 0.665
Be 0.118 0.500 0.288
Ga 0.065 0.000 0.386
Ga 0.218 0.500 0.067

Properties
Its electronic total energy is -4.7745 eV per atom. As for the volume: 16.3 A^3/atom.

(7)
First-principles (PBE-GGA) data for a relaxed structure of Sc2BeGa, as listed in the Alexandria database.

Lattice parameters (Å, degrees): 6.529 6.529 6.529 90.00 90.00 90.00
Space group Fm-3m (No. 225)
Asymmetric unit:
Sc 0.250 0.250 0.250
Be 0.000 0.000 0.000
Ga 0.000 0.000 0.500

Properties
As for the volume: 17.4 A^3/atom. The polymorph energy (0 for the lowest one) is 10 meV/atom.

(8)
First-principles (PBE-GGA) data for a relaxed structure of ScBeGa, as listed in the Alexandria database.

Lattice parameters (Å, degrees): 3.619 3.619 7.863 90.00 90.00 90.00
Space group I4mm (No. 107)
Asymmetric unit:
Sc 0.000 0.000 0.000
Be 0.000 0.000 0.655
Ga 0.000 0.000 0.339

Properties
As for the volume: 17.2 A^3/atom. The polymorph energy (0 for the lowest one) is 591 meV/atom.

(9)
First-principles (PBE-GGA) data for a relaxed structure of Sc4BeGa3, as listed in the Alexandria database.

Lattice parameters (Å, degrees): 3.235 3.235 13.807 90.00 90.00 90.00
Space group P4/mmm (No. 123)
Asymmetric unit:
Sc 0.000 0.000 0.110
Sc 0.000 0.000 0.368
Be 0.500 0.500 0.000
Ga 0.500 0.500 0.237
Ga 0.500 0.500 0.500

Properties
Its electronic total energy is -5.2425 eV per atom. As for the volume: 18.1 A^3/atom.

(10)
First-principles (PBE-GGA) data for a relaxed structure of Sc2BeGa, as listed in the Alexandria database.

Lattice parameters (Å, degrees): 3.251 3.251 6.541 90.00 90.00 90.00
Space group P4/mmm (No. 123)
Asymmetric unit:
Sc 0.000 0.000 0.232
Be 0.500 0.500 0.000
Ga 0.500 0.500 0.500

Properties
As for the volume: 17.3 A^3/atom. The polymorph energy (0 for the lowest one) is 0 meV/atom.

(11)
First-principles (PBE-GGA) data for a relaxed structure of ScBeGa, as listed in the Alexandria database.

Lattice parameters (Å, degrees): 4.4816 4.4816 5.4671 90.00 90.00 120.00
Space group P6_3/mmc (No. 194)
Asymmetric unit:
Sc 0.3333 0.6667 0.2500
Be 0.0000 0.0000 0.0000
Ga 0.3333 0.6667 0.7500

Properties
As for the volume: 15.8 A^3/atom. The polymorph energy (0 for the lowest one) is 299 meV/atom.

(12)
First-principles (PBE-GGA) data for a relaxed structure of ScBeGa, as listed in the Alexandria database.

Lattice parameters (Å, degrees): 3.8116 3.8116 10.3919 90.00 90.00 120.00
Space group P6_3/mmc (No. 194)
Asymmetric unit:
Sc 0.0000 0.0000 0.0000
Be 0.3333 0.6667 0.2500
Ga 0.0000 0.0000 0.2500

Properties
As for the volume: 21.8 A^3/atom. The polymorph energy (0 for the lowest one) is 1043 meV/atom.

(13)
First-principles (PBE-GGA) data for a relaxed structure of ScBeGa, as listed in the Alexandria database.

Lattice parameters (Å, degrees): 4.0629 4.0629 3.2752 90.00 90.00 120.00
Space group P-6m2 (No. 187)
Asymmetric unit:
Sc 0.0000 0.0000 0.0000
Be 0.6667 0.3333 0.5000
Ga 0.3333 0.6667 0.5000

Properties
As for the volume: 15.6 A^3/atom. The polymorph energy (0 for the lowest one) is 7 meV/atom.

(14)
First-principles (PBE-GGA) data for a relaxed structure of Sc3BeGa, as listed in the Alexandria database.

Lattice parameters (Å, degrees): 4.765 4.765 4.765 90.00 90.00 90.00
Space group Pm-3m (No. 221)
Asymmetric unit:
Sc 0.000 0.000 0.500
Be 0.000 0.000 0.000
Ga 0.500 0.500 0.500

Properties
As for the volume: 21.6 A^3/atom. The polymorph energy (0 for the lowest one) is 0 meV/atom.

(15)
First-principles (PBE-GGA) data for a relaxed structure of ScBeGa, as listed in the Alexandria database.

Lattice parameters (Å, degrees): 5.373 5.372 7.158 90.00 111.97 90.00
Space group Cm (No. 8)
Asymmetric unit:
Sc 0.000 0.000 0.000
Sc 0.172 0.500 0.343
Be 0.086 0.250 0.671
Ga 0.222 0.000 0.444
Ga 0.450 0.000 0.899

Properties
As for the volume: 16.0 A^3/atom. The polymorph energy (0 for the lowest one) is 107 meV/atom.

(16)
First-principles (PBE-GGA) data for a relaxed structure of Sc3BeGa3, as listed in the Alexandria database.

Lattice parameters (Å, degrees): 9.996 4.066 13.269 90.00 109.76 90.00
Space group C2/m (No. 12)
Asymmetric unit:
Sc 0.038 0.000 0.384
Sc 0.098 0.000 0.918
Sc 0.243 0.000 0.226
Be 0.245 0.500 0.394
Ga 0.037 0.500 0.240
Ga 0.119 0.500 0.075
Ga 0.140 0.500 0.547

Properties
Its electronic total energy is -5.0669 eV per atom. As for the volume: 18.1 A^3/atom.

(17)
First-principles (PBE-GGA) data for a relaxed structure of ScBeGa, as listed in the Alexandria database.

Lattice parameters (Å, degrees): 3.779 3.779 6.709 90.00 90.00 90.00
Space group P4/nmm (No. 129, origin choice 2)
Asymmetric unit:
Sc 0.250 0.250 0.155
Be 0.250 0.250 0.731
Ga 0.250 0.750 0.500

Properties
As for the volume: 16.0 A^3/atom. The polymorph energy (0 for the lowest one) is 204 meV/atom.

(18)
First-principles (PBE-GGA) data for a relaxed structure of ScBeGa, as listed in the Alexandria database.

Lattice parameters (Å, degrees): 6.163 6.163 6.163 90.00 90.00 90.00
Space group F-43m (No. 216)
Asymmetric unit:
Sc 0.000 0.000 0.000
Be 0.250 0.250 0.750
Ga 0.250 0.250 0.250

Properties
As for the volume: 19.5 A^3/atom. The polymorph energy (0 for the lowest one) is 851 meV/atom.

(19)
First-principles (PBE-GGA) data for a relaxed structure of ScBeGa, as listed in the Alexandria database.

Lattice parameters (Å, degrees): 4.0811 4.0811 20.0052 90.00 90.00 120.00
Space group R3m (No. 160, hexagonal axes)
Asymmetric unit:
Sc 0.0000 0.0000 0.0000
Sc 0.0000 0.0000 0.1647
Be 0.0000 0.0000 0.2887
Be 0.0000 0.0000 0.7404
Ga 0.0000 0.0000 0.4159
Ga 0.0000 0.0000 0.5879

Properties
As for the volume: 16.0 A^3/atom. The polymorph energy (0 for the lowest one) is 105 meV/atom.

(20)
First-principles (PBE-GGA) data for a relaxed structure of ScBeGa, as listed in the Alexandria database.

Lattice parameters (Å, degrees): 4.067 6.550 7.020 90.00 90.00 90.00
Space group Imm2 (No. 44)
Asymmetric unit:
Sc 0.000 0.000 0.000
Sc 0.000 0.500 0.024
Be 0.000 0.293 0.681
Ga 0.000 0.242 0.348

Properties
As for the volume: 15.6 A^3/atom. The polymorph energy (0 for the lowest one) is 5 meV/atom.

(21)
First-principles (PBE-GGA) data for a relaxed structure of Sc2Be2Ga, as listed in the Alexandria database.

Lattice parameters (Å, degrees): 6.279 6.279 3.999 90.00 90.00 90.00
Space group P4/mbm (No. 127)
Asymmetric unit:
Sc 0.172 0.328 0.000
Be 0.122 0.622 0.500
Ga 0.000 0.000 0.500

Properties
As for the volume: 15.8 A^3/atom. The polymorph energy (0 for the lowest one) is 0 meV/atom.

(22)
First-principles (PBE-GGA) data for a relaxed structure of ScBeGa, as listed in the Alexandria database.

Lattice parameters (Å, degrees): 4.083 3.285 7.069 90.00 90.00 90.00
Space group Pmma (No. 51)
Asymmetric unit:
Sc 0.250 0.000 0.230
Be 0.250 0.500 0.928
Ga 0.250 0.500 0.601

Properties
As for the volume: 15.8 A^3/atom. The polymorph energy (0 for the lowest one) is 78 meV/atom.

(23)
First-principles (PBE-GGA) data for a relaxed structure of ScBe2Ga2, as listed in the Alexandria database.

Lattice parameters (Å, degrees): 7.023 7.023 2.896 90.00 90.00 90.00
Space group P4/mbm (No. 127)
Asymmetric unit:
Sc 0.000 0.000 0.000
Be 0.115 0.385 0.000
Ga 0.175 0.675 0.500

Properties
As for the volume: 14.3 A^3/atom. The polymorph energy (0 for the lowest one) is 278 meV/atom.

(24)
First-principles (PBE-GGA) data for a relaxed structure of Sc2BeGa, as listed in the Alexandria database.

Lattice parameters (Å, degrees): 7.152 7.152 6.034 90.00 90.00 90.00
Space group I-42d (No. 122)
Asymmetric unit:
Sc 0.226 0.250 0.125
Be 0.000 0.000 0.000
Ga 0.000 0.000 0.500

Properties
As for the volume: 19.3 A^3/atom. The polymorph energy (0 for the lowest one) is 487 meV/atom.

(25)
First-principles (PBE-GGA) data for a relaxed structure of ScBeGa, as listed in the Alexandria database.

Lattice parameters (Å, degrees): 5.645 4.140 7.893 90.00 90.00 90.00
Space group Pnma (No. 62)
Asymmetric unit:
Sc 0.173 0.250 0.082
Be 0.142 0.250 0.419
Ga 0.023 0.250 0.717

Properties
As for the volume: 15.4 A^3/atom. The polymorph energy (0 for the lowest one) is 182 meV/atom.

(26)
First-principles (PBE-GGA) data for a relaxed structure of Sc2BeGa, as listed in the Alexandria database.

Lattice parameters (Å, degrees): 3.1131 3.1131 29.5447 90.00 90.00 120.00
Space group R-3m (No. 166, hexagonal axes)
Asymmetric unit:
Sc 0.0000 0.0000 0.0924
Be 0.0000 0.0000 0.0000
Ga 0.0000 0.0000 0.5000

Properties
As for the volume: 20.7 A^3/atom. The polymorph energy (0 for the lowest one) is 759 meV/atom.

no.,magnetization (μB/atom)
1,0.000
2,0.000
3,0.130
4,0.000
5,0.000
6,0.000
7,0.000
8,0.000
9,0.000
10,0.000
11,0.000
12,0.126
13,0.000
14,0.000
15,0.000
16,0.000
17,0.125
18,0.000
19,0.000
20,0.000
21,0.000
22,0.000
23,0.081
24,0.000
25,0.000
26,0.000